No. 1
CaCo2Ge | GGA-PBE | optimized geometry

Geometry as CIF:
```
data_CaCo2Ge
_cell_length_a 8.6962
_cell_length_b 8.6962
_cell_length_c 8.6962
_cell_angle_alpha 149.93
_cell_angle_beta 149.93
_cell_angle_gamma 43.04
_symmetry_space_group_name_H-M 'P 1'
_symmetry_Int_Tables_number 1
_symmetry_space_group_name_Hall 'P 1'
loop_
_atom_site_label
_atom_site_fract_x
_atom_site_fract_y
_atom_site_fract_z
Ca1 0.0000 0.0000 0.0000
Ca2 0.7500 0.2500 0.5000
Co1 0.3596 0.6250 0.2346
Co2 0.3750 0.6096 0.7346
Co3 0.3904 0.1250 0.7654
Co4 0.8750 0.6404 0.2654
Ge1 0.2500 0.7500 0.5000
Ge2 0.5000 0.5000 0.0000
```

Calculated values
Space-group type: I-42d (122)
ρ in Mg/m³: 4.65
Formation energy from the elements in eV per formula unit: 0.41

---

No. 2
YSc2Sn2 | GGA-PBE | optimized geometry

Geometry as CIF:
```
data_YSc2Sn2
_cell_length_a 7.1060
_cell_length_b 7.1060
_cell_length_c 7.1060
_cell_angle_alpha 141.43
_cell_angle_beta 141.43
_cell_angle_gamma 55.68
_symmetry_space_group_name_H-M 'P 1'
_symmetry_Int_Tables_number 1
_symmetry_space_group_name_Hall 'P 1'
loop_
_atom_site_label
_atom_site_fract_x
_atom_site_fract_y
_atom_site_fract_z
Y1 0.0000 0.0000 0.0000
Sc1 0.3862 0.3862 0.0000
Sc2 0.6138 0.6138 0.0000
Sn1 0.2500 0.7500 0.5000
Sn2 0.7500 0.2500 0.5000
```

Calculated values
Space-group type: I4/mmm (139)
ρ in Mg/m³: 4.99
Polymorph energy (0 for the lowest one) in kJ/mol of atoms: 45.8
Formation energy from the elements in eV per formula unit: -0.48

---

No. 3
RbP2H8 | GGA-PBE | optimized geometry

Geometry as CIF:
```
data_RbP2H8
_cell_length_a 5.1682
_cell_length_b 5.1682
_cell_length_c 7.0979
_cell_angle_alpha 108.88
_cell_angle_beta 108.88
_cell_angle_gamma 48.35
_symmetry_space_group_name_H-M 'P 1'
_symmetry_Int_Tables_number 1
_symmetry_space_group_name_Hall 'P 1'
loop_
_atom_site_label
_atom_site_fract_x
_atom_site_fract_y
_atom_site_fract_z
Rb1 0.0000 0.0000 0.0000
P1 0.2300 0.2300 0.6634
P2 0.7700 0.7700 0.3366
H1 0.1241 0.6215 0.3440
H2 0.1755 0.1755 0.4191
H3 0.2773 0.2773 0.9005
H4 0.3785 0.8759 0.6560
H5 0.6215 0.1241 0.3440
H6 0.7227 0.7227 0.0995
H7 0.8245 0.8245 0.5809
H8 0.8759 0.3785 0.6560
```

Calculated values
Space-group type: C2/m (12)
ρ in Mg/m³: 1.95
Polymorph energy (0 for the lowest one) in kJ/mol of atoms: 0.0

---

No. 4
Be6Rh | GGA-PBE | optimized geometry

Geometry as CIF:
```
data_Be6Rh
_cell_length_a 4.7306
_cell_length_b 4.7306
_cell_length_c 4.7306
_cell_angle_alpha 109.47
_cell_angle_beta 109.47
_cell_angle_gamma 109.47
_symmetry_space_group_name_H-M 'P 1'
_symmetry_Int_Tables_number 1
_symmetry_space_group_name_Hall 'P 1'
loop_
_atom_site_label
_atom_site_fract_x
_atom_site_fract_y
_atom_site_fract_z
Be1 0.2500 0.5000 0.7500
Be2 0.2500 0.7500 0.5000
Be3 0.5000 0.2500 0.7500
Be4 0.5000 0.7500 0.2500
Be5 0.7500 0.2500 0.5000
Be6 0.7500 0.5000 0.2500
Rh1 0.0000 0.0000 0.0000
```

Calculated values
Space-group type: Im-3m (229)
ρ in Mg/m³: 3.20
Polymorph energy (0 for the lowest one) in kJ/mol of atoms: 141.7
Formation energy from the elements in eV per formula unit: 8.66